Below is Dy2Ho2Er2In after structural relaxation, with properties calculated at the PBE level.

The space group is I4/mmm, No. 139. The value obtained for the formation energy is -0.124 eV per atom.

a = 5.0018 Å, b = 3.5346 Å, c = 16.8870 Å
α = 96.01°, β = 90.00°, γ = 135.04°
Closest atoms and distances in Å follow each position.
Fractional coordinates of all 7 atoms:
1 Dy 0.2872 0.5743 0.0746  4 Er 3.53, 8 Dy 3.53
2 Dy 0.7128 0.4257 0.9254  4 Er 3.53, 8 Dy 3.53
3 Ho 0.4358 0.8716 0.3721  4 In 3.29, 4 Er 3.52, 4 Ho 3.53
4 Ho 0.5642 0.1284 0.6279  4 In 3.29, 4 Er 3.52, 4 Ho 3.53
5 Er 0.1384 0.2768 0.7763  4 Ho 3.52, 4 Dy 3.53, 4 Er 3.53
6 Er 0.8616 0.7232 0.2237  4 Ho 3.52, 4 Dy 3.53, 4 Er 3.53
7 In 0.0000 0.0000 0.5000  8 Ho 3.29, 4 In 3.53

---

Below is DyHoEr2In after structural relaxation, with properties calculated at the PBE level.

The space group is Cmcm, No. 63. The value obtained for the formation energy is 0.083 eV per atom.

a = 3.4778 Å, b = 10.2991 Å, c = 9.2012 Å
α = 90.00°, β = 90.00°, γ = 99.72°
Closest atoms and distances in Å follow each position.
Fractional coordinates of all 10 atoms:
1 Er 0.6676 0.3352 0.9471  3 In 3.13-3.16, 1 Ho 3.44, 2 Er 3.48
2 Er 0.6676 0.3352 0.5529  3 In 3.13-3.16, 1 Ho 3.44, 2 Er 3.48
3 Er 0.3324 0.6648 0.0529  3 In 3.13-3.16, 1 Ho 3.44, 2 Er 3.48
4 Er 0.3324 0.6648 0.4471  3 In 3.13-3.16, 1 Ho 3.44, 2 Er 3.48
5 Ho 0.5000 0.0000 0.5000  2 Er 3.44, 2 Ho 3.48, 4 Dy 3.59
6 Ho 0.5000 0.0000 0.0000  2 Er 3.44, 2 Ho 3.48, 4 Dy 3.59
7 Dy 0.8950 0.7900 0.7500  2 In 3.21, 2 Dy 3.48, 4 Er 3.52, 4 Ho 3.59
8 Dy 0.1050 0.2100 0.2500  2 In 3.21, 2 Dy 3.48, 4 Er 3.52, 4 Ho 3.59
9 In 0.7379 0.4757 0.2500  6 Er 3.13-3.16, 2 Dy 3.21, 2 In 3.48
10 In 0.2621 0.5243 0.7500  6 Er 3.13-3.16, 2 Dy 3.21, 2 In 3.48

---

Below is Dy5Ho2ErIn after structural relaxation, with properties calculated at the PBE level.

The space group is Cmc2_1, No. 36. The value obtained for the formation energy is -0.002 eV per atom.

a = 5.3305 Å, b = 10.3809 Å, c = 10.4524 Å
α = 90.00°, β = 90.00°, γ = 104.88°
Closest atoms and distances in Å follow each position.
Fractional coordinates of all 18 atoms:
1 Ho 0.1160 0.2321 0.7178  9 Dy 3.37-3.69, 1 Er 3.54
2 Ho 0.8841 0.7682 0.7987  9 Dy 3.37-3.68, 1 Er 3.54
3 Ho 0.8840 0.7679 0.2178  9 Dy 3.37-3.69, 1 Er 3.54
4 Ho 0.1159 0.2318 0.2987  9 Dy 3.37-3.68, 1 Er 3.54
5 Dy 0.7110 0.4220 0.2073  1 In 3.11, 2 Dy 3.27, 2 Er 3.38, 3 Ho 3.41-3.47
6 Dy 0.5000 0.9999 0.7581  2 In 3.24-3.25, 2 Dy 3.53, 4 Ho 3.56
7 Dy 0.6184 0.2368 0.5082  4 Ho 3.45, 1 Er 3.51, 6 Dy 3.53-3.73
8 Dy 0.7113 0.4226 0.8093  1 In 3.11, 2 Dy 3.27, 2 Er 3.38, 3 Ho 3.42-3.47
9 Dy 0.5000 0.0001 0.2581  2 In 3.24-3.25, 2 Dy 3.53, 4 Ho 3.56
10 Dy 0.0119 0.0238 0.0083  2 In 3.15, 2 Ho 3.37
11 Dy 0.9881 0.9762 0.5083  2 In 3.15, 2 Ho 3.37
12 Dy 0.2887 0.5775 0.3093  1 In 3.11, 2 Dy 3.27, 2 Er 3.38, 3 Ho 3.42-3.47
13 Dy 0.2890 0.5781 0.7073  1 In 3.11, 2 Dy 3.27, 2 Er 3.38, 3 Ho 3.41-3.47
14 Dy 0.3815 0.7631 0.0082  4 Ho 3.45, 1 Er 3.51, 6 Dy 3.53-3.73
15 Er 0.7933 0.5866 0.5083  7 Dy 3.38-3.55, 2 In 3.47, 2 Ho 3.54
16 Er 0.2067 0.4133 0.0083  7 Dy 3.38-3.55, 2 In 3.47, 2 Ho 3.54
17 In 0.5960 0.1919 0.0078  6 Dy 3.11-3.25, 2 Er 3.47
18 In 0.4041 0.8082 0.5078  6 Dy 3.11-3.25, 2 Er 3.47

---

Below is Dy3Ho6Er2In after structural relaxation, with properties calculated at the PBE level.

The space group is C2/m, No. 12. The value obtained for the formation energy is -0.038 eV per atom.

a = 6.0589 Å, b = 6.0589 Å, c = 11.5563 Å
α = 95.04°, β = 95.04°, γ = 120.02°
Closest atoms and distances in Å follow each position.
Fractional coordinates of all 12 atoms:
1 Ho 0.5893 0.9185 0.7538  1 In 3.44, 6 Ho 3.46-3.52, 2 Er 3.46, 3 Dy 3.52-3.54
2 Ho 0.0815 0.4107 0.2462  1 In 3.44, 6 Ho 3.46-3.52, 2 Er 3.46, 3 Dy 3.52-3.54
3 Ho 0.7524 0.7524 0.2476  1 In 3.46, 6 Ho 3.46-3.52, 2 Er 3.47, 3 Dy 3.51-3.52
4 Ho 0.2476 0.2476 0.7524  1 In 3.46, 6 Ho 3.46-3.52, 2 Er 3.47, 3 Dy 3.51-3.52
5 Ho 0.4107 0.0815 0.2462  1 In 3.44, 6 Ho 3.46-3.52, 2 Er 3.46, 3 Dy 3.52-3.54
6 Ho 0.9185 0.5893 0.7538  1 In 3.44, 6 Ho 3.46-3.52, 2 Er 3.46, 3 Dy 3.52-3.54
7 Er 0.3338 0.6662 0.0000  6 Ho 3.46-3.47, 3 Er 3.49-3.50, 3 In 3.49-3.50
8 Er 0.6662 0.3338 0.0000  6 Ho 3.46-3.47, 3 Er 3.49-3.50, 3 In 3.49-3.50
9 Dy 0.1669 0.8331 0.5000  6 Dy 3.50, 6 Ho 3.51-3.54
10 Dy 0.8331 0.1669 0.5000  6 Dy 3.50, 6 Ho 3.51-3.54
11 Dy 0.5000 0.5000 0.5000  6 Dy 3.50, 6 Ho 3.52
12 In 0.0000 0.0000 0.0000  6 Ho 3.44-3.46, 6 Er 3.49-3.50

---

Below is DyHoErIn after structural relaxation, with properties calculated at the PBE level.

The energy above the lowest structure with this stoichiometry is 0.146 eV/atom. The space group is F-43m, No. 216. The value obtained for the formation energy is -0.118 eV per atom.

a = 5.4222 Å, b = 5.4222 Å, c = 5.4222 Å
α = 60.00°, β = 60.00°, γ = 60.00°
Closest atoms and distances in Å follow each position.
Fractional coordinates of all 4 atoms:
1 Dy 0.0000 0.0000 0.0000  4 In 3.32, 4 Ho 3.32
2 In 0.2500 0.2500 0.2500  4 Dy 3.32, 4 Er 3.32
3 Ho 0.7500 0.7500 0.7500  4 Er 3.32, 4 Dy 3.32
4 Er 0.5000 0.5000 0.5000  4 Ho 3.32, 4 In 3.32

---

Below is DyHoEr2In4 after structural relaxation, with properties calculated at the PBE level.

The space group is R-3m, No. 166. The value obtained for the formation energy is -0.449 eV per atom.

a = 5.2880 Å, b = 5.2880 Å, c = 9.1774 Å
α = 73.26°, β = 73.26°, γ = 60.00°
Closest atoms and distances in Å follow each position.
Fractional coordinates of all 8 atoms:
1 Er 0.7500 0.7500 0.7499  8 In 3.24-3.25
2 Er 0.2500 0.2500 0.2501  8 In 3.24-3.25
3 Dy 0.0000 0.0000 0.0000  8 In 3.24-3.25
4 In 0.3752 0.3752 0.8744  4 Er 3.24-3.25, 1 Ho 3.24, 3 Dy 3.24
5 In 0.1252 0.1252 0.6245  3 Ho 3.24, 4 Er 3.24, 1 Dy 3.25
6 In 0.6248 0.6248 0.1256  4 Er 3.24-3.25, 1 Ho 3.24, 3 Dy 3.24
7 In 0.8748 0.8748 0.3755  3 Ho 3.24, 4 Er 3.24, 1 Dy 3.25
8 Ho 0.5000 0.5000 0.5000  8 In 3.24

---

Below is Dy2HoErIn4 after structural relaxation, with properties calculated at the PBE level.

The space group is R-3m, No. 166. The value obtained for the formation energy is -0.455 eV per atom.

a = 5.2967 Å, b = 5.2967 Å, c = 9.1924 Å
α = 73.26°, β = 73.26°, γ = 60.00°
Closest atoms and distances in Å follow each position.
Fractional coordinates of all 8 atoms:
1 Dy 0.2499 0.2499 0.2502  8 In 3.24-3.26
2 Dy 0.7501 0.7501 0.7498  8 In 3.24-3.26
3 In 0.8748 0.8748 0.3757  3 Er 3.24, 4 Dy 3.24-3.25, 1 Ho 3.26
4 In 0.3752 0.3752 0.8744  4 Dy 3.24-3.26, 1 Er 3.25, 3 Ho 3.25
5 In 0.6248 0.6248 0.1256  4 Dy 3.24-3.26, 1 Er 3.25, 3 Ho 3.25
6 In 0.1252 0.1252 0.6243  3 Er 3.24, 4 Dy 3.24-3.25, 1 Ho 3.26
7 Er 0.5000 0.5000 0.5000  8 In 3.24-3.25
8 Ho 0.0000 0.0000 0.0000  8 In 3.25-3.26

---

Below is Dy6Ho2Er3In after structural relaxation, with properties calculated at the PBE level.

The space group is C2/m, No. 12. The value obtained for the formation energy is -0.041 eV per atom.

a = 6.0616 Å, b = 6.0616 Å, c = 11.5754 Å
α = 95.03°, β = 95.03°, γ = 120.05°
Closest atoms and distances in Å follow each position.
Fractional coordinates of all 12 atoms:
1 Ho 0.3340 0.6660 0.0000  6 Dy 3.48-3.49, 3 Ho 3.49-3.51, 3 In 3.49-3.51
2 Ho 0.6660 0.3340 0.0000  6 Dy 3.48-3.49, 3 Ho 3.49-3.51, 3 In 3.49-3.51
3 Dy 0.2467 0.2467 0.7509  6 Dy 3.46-3.52, 1 In 3.47, 2 Ho 3.49, 3 Er 3.50-3.51
4 Dy 0.0821 0.4113 0.2478  6 Dy 3.46-3.52, 1 In 3.46, 2 Ho 3.48, 3 Er 3.51-3.53
5 Dy 0.7533 0.7533 0.2491  6 Dy 3.46-3.52, 1 In 3.47, 2 Ho 3.49, 3 Er 3.50-3.51
6 Dy 0.9179 0.5887 0.7522  6 Dy 3.46-3.52, 1 In 3.46, 2 Ho 3.48, 3 Er 3.51-3.53
7 Dy 0.5887 0.9179 0.7522  6 Dy 3.46-3.52, 1 In 3.46, 2 Ho 3.48, 3 Er 3.51-3.53
8 Dy 0.4113 0.0821 0.2478  6 Dy 3.46-3.52, 1 In 3.46, 2 Ho 3.48, 3 Er 3.51-3.53
9 Er 0.1670 0.8330 0.5000  6 Er 3.49-3.51, 6 Dy 3.50-3.53
10 Er 0.8330 0.1670 0.5000  6 Er 3.49-3.51, 6 Dy 3.50-3.53
11 Er 0.5000 0.5000 0.5000  6 Er 3.50, 6 Dy 3.51
12 In 0.0000 0.0000 0.0000  6 Dy 3.46-3.47, 6 Ho 3.49-3.51

---

Below is DyHoErIn after structural relaxation, with properties calculated at the PBE level.

The energy above the lowest structure with this stoichiometry is 0.000 eV/atom. The space group is Pmmm, No. 47. The value obtained for the formation energy is -0.264 eV per atom.

a = 4.8198 Å, b = 4.8241 Å, c = 4.8240 Å
α = 90.00°, β = 90.00°, γ = 90.00°
Closest atoms and distances in Å follow each position.
Fractional coordinates of all 4 atoms:
1 Ho 0.5000 0.0000 0.5000  4 In 3.41, 4 Er 3.41, 4 Dy 3.41
2 In 0.0000 0.0000 0.0000  4 Ho 3.41, 4 Dy 3.41, 4 Er 3.41
3 Dy 0.5000 0.5000 0.0000  4 Er 3.41, 4 In 3.41, 4 Ho 3.41
4 Er 0.0000 0.5000 0.5000  4 Dy 3.41, 4 Ho 3.41, 4 In 3.41

---

Below is Dy2HoEr5In after structural relaxation, with properties calculated at the PBE level.

The space group is Cmcm, No. 63. The value obtained for the formation energy is -0.002 eV per atom.

a = 5.2905 Å, b = 10.3958 Å, c = 10.3606 Å
α = 90.00°, β = 90.00°, γ = 104.74°
Closest atoms and distances in Å follow each position.
Fractional coordinates of all 18 atoms:
1 Er 0.7116 0.4233 0.8098  1 In 3.10, 2 Er 3.24, 2 Ho 3.35, 3 Dy 3.40-3.46
2 Er 0.0105 0.0209 0.0082  2 In 3.16, 2 Dy 3.36
3 Er 0.2884 0.5768 0.7067  1 In 3.10, 2 Er 3.24, 2 Ho 3.35, 3 Dy 3.40-3.46
4 Er 0.5000 0.0000 0.7582  2 In 3.23, 2 Er 3.51, 4 Dy 3.55
5 Er 0.7116 0.4232 0.2067  1 In 3.10, 2 Er 3.24, 2 Ho 3.35, 3 Dy 3.40-3.46
6 Er 0.6178 0.2356 0.5082  4 Dy 3.43, 1 Ho 3.50, 6 Er 3.51-3.69
7 Er 0.3822 0.7644 0.0082  4 Dy 3.43, 1 Ho 3.50, 6 Er 3.51-3.69
8 Er 0.9895 0.9791 0.5082  2 In 3.16, 2 Dy 3.36
9 Er 0.2884 0.5767 0.3098  1 In 3.10, 2 Er 3.24, 2 Ho 3.35, 3 Dy 3.40-3.46
10 Er 0.5000 0.0000 0.2582  2 In 3.23, 2 Er 3.51, 4 Dy 3.55
11 Dy 0.1162 0.2324 0.2969  9 Er 3.36-3.67, 1 Ho 3.52
12 Dy 0.8838 0.7676 0.7969  9 Er 3.36-3.67, 1 Ho 3.52
13 Dy 0.8838 0.7675 0.2195  9 Er 3.36-3.67, 1 Ho 3.52
14 Dy 0.1162 0.2325 0.7195  9 Er 3.36-3.67, 1 Ho 3.52
15 Ho 0.2081 0.4161 0.0082  7 Er 3.35-3.52, 2 In 3.47, 2 Dy 3.52
16 Ho 0.7919 0.5839 0.5082  7 Er 3.35-3.52, 2 In 3.47, 2 Dy 3.52
17 In 0.5961 0.1922 0.0081  6 Er 3.10-3.23
18 In 0.4039 0.8078 0.5081  6 Er 3.10-3.23

---

Below is Dy2Ho5ErIn after structural relaxation, with properties calculated at the PBE level.

The space group is Cmcm, No. 63. The value obtained for the formation energy is -0.003 eV per atom.

a = 5.3096 Å, b = 10.4013 Å, c = 10.3988 Å
α = 90.00°, β = 90.00°, γ = 104.79°
Closest atoms and distances in Å follow each position.
Fractional coordinates of all 18 atoms:
1 Ho 0.2885 0.5770 0.7065  1 In 3.11, 2 Ho 3.26, 2 Er 3.36, 3 Dy 3.41-3.47
2 Ho 0.5000 0.0000 0.2582  2 In 3.24, 2 Ho 3.52, 4 Dy 3.56
3 Ho 0.7115 0.4230 0.2065  1 In 3.11, 2 Ho 3.26, 2 Er 3.36, 3 Dy 3.41-3.47
4 Ho 0.3818 0.7636 0.0082  4 Dy 3.44, 1 Er 3.50, 6 Ho 3.52-3.72
5 Ho 0.9888 0.9776 0.5082  2 In 3.16, 2 Dy 3.37
6 Ho 0.6182 0.2364 0.5082  4 Dy 3.44, 1 Er 3.50, 6 Ho 3.52-3.72
7 Ho 0.7114 0.4229 0.8099  1 In 3.10, 2 Ho 3.26, 2 Er 3.36, 3 Dy 3.41-3.47
8 Ho 0.0112 0.0224 0.0082  2 In 3.16, 2 Dy 3.37
9 Ho 0.2885 0.5771 0.3099  1 In 3.10, 2 Ho 3.26, 2 Er 3.36, 3 Dy 3.41-3.47
10 Ho 0.5000 0.0000 0.7582  2 In 3.24, 2 Ho 3.52, 4 Dy 3.56
11 Dy 0.8839 0.7678 0.7977  9 Ho 3.37-3.68, 1 Er 3.53
12 Dy 0.1160 0.2321 0.7188  9 Ho 3.37-3.68, 1 Er 3.53
13 Dy 0.1161 0.2322 0.2977  9 Ho 3.37-3.68, 1 Er 3.53
14 Dy 0.8840 0.7679 0.2188  9 Ho 3.37-3.68, 1 Er 3.53
15 Er 0.2076 0.4152 0.0082  7 Ho 3.36-3.53, 2 In 3.47, 2 Dy 3.53
16 Er 0.7924 0.5848 0.5082  7 Ho 3.36-3.53, 2 In 3.47, 2 Dy 3.53
17 In 0.4039 0.8078 0.5081  6 Ho 3.10-3.24, 2 Er 3.47
18 In 0.5961 0.1922 0.0081  6 Ho 3.10-3.24, 2 Er 3.47

---

Below is La2DyHoEr5 after structural relaxation, with properties calculated at the PBE level.

The space group is Cmc2_1, No. 36. The value obtained for the formation energy is 0.140 eV per atom.

a = 5.6242 Å, b = 10.2491 Å, c = 10.7161 Å
α = 90.00°, β = 90.00°, γ = 105.92°
Closest atoms and distances in Å follow each position.
Fractional coordinates of all 18 atoms:
1 Dy 0.4141 0.8283 0.4613  5 Er 3.08-3.24
2 Dy 0.5859 0.1717 0.9613  5 Er 3.08-3.24
3 Ho 0.7990 0.5979 0.5112  2 La 3.45-3.70, 8 Er 3.51-3.79, 2 Dy 3.65
4 Ho 0.2010 0.4021 0.0112  2 La 3.45-3.70, 8 Er 3.51-3.79, 2 Dy 3.65
5 Er 0.0167 0.0335 0.0255  2 Dy 3.20, 2 La 3.38-3.42
6 Er 0.7006 0.4011 0.2073  4 Er 3.41-3.80, 1 Dy 3.47, 3 La 3.49-3.70, 3 Ho 3.51-3.79
7 Er 0.9833 0.9665 0.5255  2 Dy 3.20, 2 La 3.38-3.42
8 Er 0.4802 0.9603 0.7386  2 Dy 3.17-3.24, 2 Er 3.48-3.52, 2 La 3.49
9 Er 0.2822 0.5644 0.3068  1 Dy 3.08, 1 La 3.30, 2 Er 3.41
10 Er 0.5198 0.0397 0.2386  2 Dy 3.17-3.24, 2 Er 3.48-3.52, 2 La 3.49
11 Er 0.3890 0.7780 0.0210  6 Er 3.48-3.80, 4 La 3.55-3.62, 1 Ho 3.71
12 Er 0.6110 0.2220 0.5210  6 Er 3.48-3.80, 4 La 3.55-3.62, 1 Ho 3.71
13 Er 0.2994 0.5989 0.7073  4 Er 3.41-3.80, 1 Dy 3.47, 3 La 3.49-3.70, 3 Ho 3.51-3.79
14 Er 0.7178 0.4356 0.8068  1 Dy 3.08, 1 La 3.30, 2 Er 3.41
15 La 0.1124 0.2247 0.7335  7 Er 3.38-3.70, 1 Ho 3.45, 2 Dy 3.76
16 La 0.1152 0.2303 0.3187  8 Er 3.30-3.55
17 La 0.8876 0.7753 0.2335  7 Er 3.38-3.70, 1 Ho 3.45, 2 Dy 3.76
18 La 0.8848 0.7697 0.8187  8 Er 3.30-3.55

---

Calculated values (eV/atom) of raw total energy for the records, taken in order: -4.442, -4.125, -4.387, -4.467, -4.238, -4.106, -4.118, -4.474, -4.385, -4.373, -4.380, -4.510.
Calculated values (states/eV per atom) of D(E_F) for the records, taken in order: 1.27, 1.28, 1.39, 1.36, 1.64, 0.50, 0.47, 1.28, 1.40, 1.36, 1.37, 1.33.